The following is a DFT calculation (PBE-GGA) of a relaxed Tb2Dy3Tm7 crystal.

a = 3.474 Å, b = 6.238 Å, c = 17.645 Å
α = 75.67°, β = 90.00°, γ = 90.00°
Sites, in units of the cell vectors:
Tm 0.000 0.561 0.165
Tm 0.500 0.059 0.167
Tm 0.500 0.244 0.501
Tm 0.000 0.439 0.835
Tm 0.500 0.756 0.499
Tm 0.500 0.941 0.833
Tm 0.000 0.000 0.000
Tb 0.500 0.387 0.674
Tb 0.500 0.613 0.326
Dy 0.500 0.500 0.000
Dy 0.000 0.893 0.658
Dy 0.000 0.107 0.342

**E_form**: 0.085 eV/atom
**Magnetization**: 0.00 μB per cell
**Crystal system**: monoclinic
**Symmetry**: P2/m, No. 10
**Calculated volume**: 30.87 Å³ per atom
**Final energy**: -53.35 eV/cell